NaGdMo after structural relaxation. Source: OQMD via LeMat-Bulk, functional PBE.

Summary:
- total DFT energy (no corrections) (eV/atom) = -4.04
- M_tot (μB per formula unit) = 3.05
- space group = F-43m (216)

a = 4.9366 Å, b = 4.9366 Å, c = 4.9366 Å
α = 60.00°, β = 60.00°, γ = 60.00°
Last column: nearest neighbours and their distance in Å.
Fractional coordinates of all 3 atoms:
Mo: 0.2500 0.2500 0.2500  4 Gd 3.02
Gd: 0.0000 0.0000 0.0000  4 Na 3.02, 4 Mo 3.02
Na: 0.7500 0.7500 0.7500  4 Gd 3.02


PrNdAg2Sn2 after structural relaxation. Source: OQMD via LeMat-Bulk, functional PBE.

Summary:
- total DFT energy (no corrections) (eV/atom) = -4.49
- M_tot (μB per formula unit) = 0.00
- space group = P3m1 (156)

a = 4.8142 Å, b = 4.8142 Å, c = 7.6035 Å
α = 90.00°, β = 90.00°, γ = 120.00°
Last column: nearest neighbours and their distance in Å.
Fractional coordinates of all 6 atoms:
Sn: 0.3333 0.6667 0.5349  3 Ag 2.85
Ag: 0.6667 0.3333 0.4542  4 Sn 2.85-3.17, 3 Nd 3.16
Nd: 0.0000 0.0000 0.2577  3 Ag 3.16, 6 Sn 3.24-3.49
Sn: 0.6667 0.3333 0.0378  4 Ag 2.85-3.17
Pr: 0.0000 0.0000 0.7575  3 Ag 3.17, 6 Sn 3.25-3.50
Ag: 0.3333 0.6667 0.9579  3 Sn 2.85, 3 Pr 3.17


FeCoSbPt after structural relaxation. Source: OQMD via LeMat-Bulk, functional PBE.

Summary:
- total DFT energy (no corrections) (eV/atom) = -6.36
- M_tot (μB per formula unit) = 3.30
- space group = F-43m (216)
- polymorph energy (0 for the lowest one) (meV per atom) = 0.0

a = 4.3460 Å, b = 4.3460 Å, c = 4.3460 Å
α = 60.00°, β = 60.00°, γ = 60.00°
Last column: nearest neighbours and their distance in Å.
Fractional coordinates of all 4 atoms:
Sb: 0.0000 0.0000 0.0000  4 Fe 2.66, 4 Co 2.66
Fe: 0.2500 0.2500 0.2500  4 Pt 2.66, 4 Sb 2.66
Co: 0.7500 0.7500 0.7500  4 Pt 2.66, 4 Sb 2.66
Pt: 0.5000 0.5000 0.5000  4 Co 2.66, 4 Fe 2.66


LiSmAg after structural relaxation. Source: OQMD via LeMat-Bulk, functional PBE.

Summary:
- total DFT energy (no corrections) (eV/atom) = -2.77
- M_tot (μB per formula unit) = 0.09
- space group = F-43m (216)

a = 4.8835 Å, b = 4.8835 Å, c = 4.8835 Å
α = 60.00°, β = 60.00°, γ = 60.00°
Last column: nearest neighbours and their distance in Å.
Fractional coordinates of all 3 atoms:
Ag: 0.2500 0.2500 0.2500  4 Sm 2.99
Sm: 0.0000 0.0000 0.0000  4 Li 2.99, 4 Ag 2.99
Li: 0.7500 0.7500 0.7500  4 Sm 2.99


AlOs after structural relaxation. Source: OQMD via LeMat-Bulk, functional PBE.

Summary:
- total DFT energy (no corrections) (eV/atom) = -7.27
- M_tot (μB per formula unit) = 0.00
- space group = P6_3/mmc (194)

a = 3.9951 Å, b = 3.9951 Å, c = 4.9867 Å
α = 90.00°, β = 90.00°, γ = 120.00°
Last column: nearest neighbours and their distance in Å.
Fractional coordinates of all 4 atoms:
Al: 0.3333 0.6667 0.7500  6 Os 2.62
Os: 0.0000 0.0000 0.0000  2 Os 2.49, 6 Al 2.62
Os: 0.0000 0.0000 0.5000  2 Os 2.49, 6 Al 2.62
Al: 0.6667 0.3333 0.2500  6 Os 2.62


BeNbPd after structural relaxation. Source: OQMD via LeMat-Bulk, functional PBE.

Summary:
- total DFT energy (no corrections) (eV/atom) = -6.17
- M_tot (μB per formula unit) = 0.00
- space group = F-43m (216)
- polymorph energy (0 for the lowest one) (meV per atom) = 0.0

a = 3.9897 Å, b = 3.9897 Å, c = 3.9897 Å
α = 60.00°, β = 60.00°, γ = 60.00°
Last column: nearest neighbours and their distance in Å.
Fractional coordinates of all 3 atoms:
Pd: 0.7500 0.7500 0.7500  4 Be 2.44
Be: 0.0000 0.0000 0.0000  4 Pd 2.44, 4 Nb 2.44
Nb: 0.2500 0.2500 0.2500  4 Be 2.44


DyHgPO after structural relaxation. Source: OQMD via LeMat-Bulk, functional PBE.

Summary:
- total DFT energy (no corrections) (eV/atom) = -5.32
- M_tot (μB per formula unit) = 0.00
- space group = P4/nmm (129)
- polymorph energy (0 for the lowest one) (meV per atom) = 0.0

a = 4.0655 Å, b = 4.0655 Å, c = 8.9061 Å
α = 90.00°, β = 90.00°, γ = 90.00°
Last column: nearest neighbours and their distance in Å.
Fractional coordinates of all 8 atoms:
O: 0.2500 0.7500 0.0000  4 Dy 2.28
P: 0.7500 0.7500 0.2935  4 Hg 2.74
Dy: 0.2500 0.2500 0.1163  4 O 2.28
O: 0.7500 0.2500 0.0000  4 Dy 2.28
Hg: 0.2500 0.7500 0.5000  4 P 2.74, 4 Hg 2.87
Hg: 0.7500 0.2500 0.5000  4 P 2.74, 4 Hg 2.87
P: 0.2500 0.2500 0.7065  4 Hg 2.74
Dy: 0.7500 0.7500 0.8837  4 O 2.28


ZrNbTc2 after structural relaxation. Source: OQMD via LeMat-Bulk, functional PBE.

Summary:
- total DFT energy (no corrections) (eV/atom) = -9.96
- M_tot (μB per formula unit) = 0.01
- space group = F-43m (216)
- polymorph energy (0 for the lowest one) (meV per atom) = 250.6
- calculated formation energy (eV per atom) = -0.12

a = 4.5623 Å, b = 4.5623 Å, c = 4.5623 Å
α = 60.00°, β = 60.00°, γ = 60.00°
Last column: nearest neighbours and their distance in Å.
Fractional coordinates of all 4 atoms:
Nb: 0.7500 0.7500 0.7500  4 Zr 2.79, 4 Tc 2.79
Tc: 0.2500 0.2500 0.2500  4 Zr 2.79, 4 Tc 2.79
Zr: 0.5000 0.5000 0.5000  4 Nb 2.79, 4 Tc 2.79
Tc: 0.0000 0.0000 0.0000  4 Nb 2.79, 4 Tc 2.79


ErCuSb after structural relaxation. Source: OQMD via LeMat-Bulk, functional PBE.

Summary:
- total DFT energy (no corrections) (eV/atom) = -4.32
- M_tot (μB per formula unit) = 0.00
- space group = F-43m (216)

a = 4.8208 Å, b = 4.8208 Å, c = 4.8208 Å
α = 60.00°, β = 60.00°, γ = 60.00°
Last column: nearest neighbours and their distance in Å.
Fractional coordinates of all 3 atoms:
Er: 0.0000 0.0000 0.0000  4 Cu 2.95, 4 Sb 2.95
Cu: 0.2500 0.2500 0.2500  4 Er 2.95
Sb: 0.7500 0.7500 0.7500  4 Er 2.95


LiPrTeO after structural relaxation. Source: OQMD via LeMat-Bulk, functional PBE.

Summary:
- total DFT energy (no corrections) (eV/atom) = -5.72
- M_tot (μB per formula unit) = 0.00
- space group = P2_1/c (14)
- polymorph energy (0 for the lowest one) (meV per atom) = 141.8

a = 6.3624 Å, b = 7.7581 Å, c = 6.7490 Å
α = 90.00°, β = 98.03°, γ = 90.00°
Last column: nearest neighbours and their distance in Å.
Fractional coordinates of all 16 atoms:
Pr: 0.3966 0.3931 0.7720  3 O 2.30-2.45
O: 0.4311 0.8215 0.4164  1 Li 1.94
Pr: 0.6034 0.8931 0.7280  3 O 2.30-2.45
Li: 0.8502 0.2670 0.0222  1 O 1.94
Pr: 0.3966 0.1069 0.2720  3 O 2.30-2.45
Li: 0.1498 0.7670 0.4778  1 O 1.94
Te: 0.1300 0.4530 0.2796  3 Li 2.72-2.99
O: 0.5689 0.3215 0.0836  1 Li 1.94
Li: 0.1498 0.7330 0.9778  1 O 1.94
Te: 0.8700 0.9530 0.2204  3 Li 2.72-2.99
Te: 0.1300 0.0470 0.7796  3 Li 2.72-2.99
Pr: 0.6034 0.6069 0.2280  3 O 2.30-2.45
O: 0.4311 0.6785 0.9164  1 Li 1.94
Li: 0.8502 0.2330 0.5222  1 O 1.94
Te: 0.8700 0.5470 0.7204  3 Li 2.72-2.99
O: 0.5689 0.1785 0.5836  1 Li 1.94


Al2CuB after structural relaxation. Source: OQMD via LeMat-Bulk, functional PBE.

Summary:
- total DFT energy (no corrections) (eV/atom) = -3.78
- space group = F-43m (216)

a = 4.2024 Å, b = 4.2024 Å, c = 4.2024 Å
α = 60.00°, β = 60.00°, γ = 60.00°
Last column: nearest neighbours and their distance in Å.
Fractional coordinates of all 4 atoms:
Al: 0.7500 0.7500 0.7500  4 Al 2.57, 4 B 2.57
Cu: 0.2500 0.2500 0.2500  4 B 2.57, 4 Al 2.57
Al: 0.0000 0.0000 0.0000  4 Al 2.57, 4 Cu 2.57
B: 0.5000 0.5000 0.5000  4 Al 2.57, 4 Cu 2.57


Dy3Si3Pd2 after structural relaxation. Source: OQMD via LeMat-Bulk, functional PBE.

Summary:
- total DFT energy (no corrections) (eV/atom) = -6.01
- M_tot (μB per formula unit) = 0.00
- space group = Cmcm (63)

a = 5.6347 Å, b = 5.6347 Å, c = 14.1081 Å
α = 90.00°, β = 90.00°, γ = 135.65°
Last column: nearest neighbours and their distance in Å.
Fractional coordinates of all 16 atoms:
Si: 0.1051 0.8949 0.0393  1 Si 2.46, 3 Pd 2.50-2.73
Dy: 0.5863 0.4137 0.8889  6 Si 2.99-3.09, 4 Pd 3.05-3.15
Pd: 0.2942 0.7058 0.9057  4 Si 2.50-2.73
Si: 0.1051 0.8949 0.4607  1 Si 2.46, 3 Pd 2.50-2.73
Si: 0.8404 0.1596 0.2500  2 Pd 2.61
Dy: 0.1359 0.8641 0.2500  5 Si 2.99-3.08, 4 Pd 3.14
Dy: 0.8641 0.1359 0.7500  5 Si 2.99-3.08, 4 Pd 3.14
Pd: 0.7058 0.2942 0.4057  4 Si 2.50-2.73
Pd: 0.7058 0.2942 0.0943  4 Si 2.50-2.73
Si: 0.1596 0.8404 0.7500  2 Pd 2.61
Si: 0.8949 0.1051 0.9607  1 Si 2.46, 3 Pd 2.50-2.73
Si: 0.8949 0.1051 0.5393  1 Si 2.46, 3 Pd 2.50-2.73
Dy: 0.4137 0.5863 0.1111  6 Si 2.99-3.09, 4 Pd 3.05-3.15
Dy: 0.5863 0.4137 0.6111  6 Si 2.99-3.09, 4 Pd 3.05-3.15
Dy: 0.4137 0.5863 0.3889  6 Si 2.99-3.09, 4 Pd 3.05-3.15
Pd: 0.2942 0.7058 0.5943  4 Si 2.50-2.73


HoTm2Mg3Ir2Pd after structural relaxation. Source: OQMD via LeMat-Bulk, functional PBE.

Summary:
- total DFT energy (no corrections) (eV/atom) = -5.28
- M_tot (μB per formula unit) = 0.01
- space group = Amm2 (38)

a = 3.9896 Å, b = 7.3071 Å, c = 7.3071 Å
α = 120.12°, β = 90.00°, γ = 90.00°
Last column: nearest neighbours and their distance in Å.
Fractional coordinates of all 9 atoms:
Ir: 0.5000 0.6680 0.3327  3 Mg 2.78-2.80, 4 Tm 2.96, 2 Ho 2.98
Ir: 0.5000 0.3327 0.6680  3 Mg 2.78-2.80, 4 Tm 2.96, 2 Ho 2.98
Mg: 0.5000 0.7503 0.7503  2 Pd 2.69, 2 Ir 2.80
Pd: 0.0000 0.9986 0.9986  6 Mg 2.69-2.71
Tm: 0.0000 0.5847 0.9999  4 Ir 2.96, 1 Pd 3.03, 6 Mg 3.16-3.31
Mg: 0.5000 0.2499 0.9996  2 Pd 2.71, 2 Ir 2.78-2.79
Mg: 0.5000 0.9996 0.2499  2 Pd 2.71, 2 Ir 2.78-2.79
Tm: 0.0000 0.9999 0.5847  4 Ir 2.96, 1 Pd 3.03, 6 Mg 3.16-3.31
Ho: 0.0000 0.4163 0.4163  4 Ir 2.98, 1 Pd 3.05, 6 Mg 3.15-3.32


NdHo2Sb3 after structural relaxation. Source: OQMD via LeMat-Bulk, functional PBE.

Summary:
- total DFT energy (no corrections) (eV/atom) = -5.52
- M_tot (μB per formula unit) = 0.01
- space group = P-3m1 (164)

a = 4.4185 Å, b = 4.4185 Å, c = 10.8145 Å
α = 90.00°, β = 90.00°, γ = 120.00°
Last column: nearest neighbours and their distance in Å.
Fractional coordinates of all 6 atoms:
Ho: 0.3333 0.6667 0.8369  6 Sb 3.09-3.10
Sb: 0.6667 0.3333 0.6753  3 Ho 3.09, 3 Nd 3.18
Sb: 0.0000 0.0000 0.0000  6 Ho 3.10
Ho: 0.6667 0.3333 0.1631  6 Sb 3.09-3.10
Nd: 0.0000 0.0000 0.5000  6 Sb 3.18
Sb: 0.3333 0.6667 0.3247  3 Ho 3.09, 3 Nd 3.18


Pr2SiAu after structural relaxation. Source: OQMD via LeMat-Bulk, functional PBE.

Summary:
- total DFT energy (no corrections) (eV/atom) = -5.27
- M_tot (μB per formula unit) = 0.12
- space group = Pmc2_1 (26)

a = 4.4039 Å, b = 5.9857 Å, c = 7.9782 Å
α = 90.00°, β = 90.00°, γ = 90.00°
Last column: nearest neighbours and their distance in Å.
Fractional coordinates of all 8 atoms:
Pr: 0.0000 0.3761 0.6795  4 Au 3.14-3.16, 3 Si 3.14-3.26
Pr: 0.0000 0.6239 0.1795  4 Au 3.14-3.16, 3 Si 3.14-3.26
Si: 0.0000 0.8861 0.5381  2 Au 2.80, 2 Pr 3.12
Pr: 0.5000 0.8869 0.8195  4 Si 3.12-3.14, 3 Au 3.20-3.28
Au: 0.5000 0.6148 0.4629  2 Si 2.80
Pr: 0.5000 0.1131 0.3195  4 Si 3.12-3.14, 3 Au 3.20-3.28
Si: 0.0000 0.1139 0.0381  2 Au 2.80, 2 Pr 3.12
Au: 0.5000 0.3852 0.9629  2 Si 2.80


LiZnHg2 after structural relaxation. Source: OQMD via LeMat-Bulk, functional PBE.

Summary:
- total DFT energy (no corrections) (eV/atom) = -1.04
- space group = F-43m (216)

a = 4.8024 Å, b = 4.8024 Å, c = 4.8024 Å
α = 60.00°, β = 60.00°, γ = 60.00°
Last column: nearest neighbours and their distance in Å.
Fractional coordinates of all 4 atoms:
Hg: 0.7500 0.7500 0.7500  4 Hg 2.94, 4 Li 2.94
Zn: 0.2500 0.2500 0.2500  4 Hg 2.94, 4 Li 2.94
Hg: 0.0000 0.0000 0.0000  4 Hg 2.94, 4 Zn 2.94
Li: 0.5000 0.5000 0.5000  4 Hg 2.94, 4 Zn 2.94


HoEr2Ni2Ge4 after structural relaxation. Source: OQMD via LeMat-Bulk, functional PBE.

Summary:
- total DFT energy (no corrections) (eV/atom) = -5.59
- M_tot (μB per formula unit) = 0.00
- space group = C2/m (12)

a = 5.6551 Å, b = 5.6551 Å, c = 8.0081 Å
α = 105.61°, β = 105.61°, γ = 43.04°
Last column: nearest neighbours and their distance in Å.
Fractional coordinates of all 9 atoms:
Ni: 0.6916 0.6916 0.3698  4 Ge 2.38-2.50
Ge: 0.9105 0.9105 0.6013  3 Ni 2.38-2.50
Ni: 0.3084 0.3084 0.6302  4 Ge 2.38-2.50
Er: 0.3753 0.3753 0.3069  3 Ni 2.87-2.98, 7 Ge 2.94-3.08
Ge: 0.0895 0.0895 0.3987  3 Ni 2.38-2.50
Ge: 0.7088 0.7088 0.0768  1 Ni 2.41, 2 Ge 2.68
Ho: 0.0000 0.0000 0.0000  8 Ge 2.95-3.29
Er: 0.6247 0.6247 0.6931  3 Ni 2.87-2.98, 7 Ge 2.94-3.08
Ge: 0.2912 0.2912 0.9232  1 Ni 2.41, 2 Ge 2.68


SiAg2F6 after structural relaxation. Source: OQMD via LeMat-Bulk, functional PBE.

Summary:
- total DFT energy (no corrections) (eV/atom) = -4.64
- space group = P2_1/c (14)

a = 5.3509 Å, b = 5.3410 Å, c = 9.0511 Å
α = 90.00°, β = 125.48°, γ = 90.00°
Last column: nearest neighbours and their distance in Å.
Fractional coordinates of all 18 atoms:
F: 0.7547 0.7199 0.4868  1 Si 1.71
F: 0.7977 0.4995 0.2694  1 Si 1.70
F: 0.7547 0.7801 0.9868  1 Si 1.71
F: 0.7690 0.2334 0.9878  1 Si 1.71
F: 0.7690 0.2666 0.4878  1 Si 1.71
F: 0.2310 0.7666 0.0122  1 Si 1.71
F: 0.7977 0.0005 0.7694  1 Si 1.70
F: 0.2023 0.5005 0.7306  1 Si 1.70
F: 0.2310 0.7334 0.5122  1 Si 1.71
F: 0.2023 0.9995 0.2306  1 Si 1.70
Si: 0.0000 0.5000 0.5000  6 F 1.70-1.71
Ag: 0.2535 0.0023 0.7513  12 F 2.54-2.82
Si: 0.0000 0.0000 0.0000  6 F 1.70-1.71
F: 0.2453 0.2199 0.0132  1 Si 1.71
Ag: 0.2535 0.4977 0.2513  12 F 2.54-2.82
Ag: 0.7465 0.9977 0.2487  12 F 2.54-2.82
F: 0.2453 0.2801 0.5132  1 Si 1.71
Ag: 0.7465 0.5023 0.7487  12 F 2.54-2.82


ZnAg9 after structural relaxation. Source: OQMD via LeMat-Bulk, functional PBE.

Summary:
- total DFT energy (no corrections) (eV/atom) = -2.63
- space group = P4/nmm (129)
- polymorph energy (0 for the lowest one) (meV per atom) = 0.0
- calculated formation energy (eV per atom) = 0.04

a = 2.9136 Å, b = 2.9136 Å, c = 53.3572 Å
α = 90.00°, β = 90.00°, γ = 90.00°
Last column: nearest neighbours and their distance in Å.
Fractional coordinates of all 20 atoms:
Ag: 0.5000 0.0000 0.3229  12 Ag 2.91-2.95
Zn: 0.0000 0.5000 0.1282  4 Ag 2.81, 4 Zn 2.91
Ag: 0.0000 0.5000 0.5197  12 Ag 2.91-2.94
Ag: 0.0000 0.5000 0.6771  12 Ag 2.91-2.95
Ag: 0.5000 0.0000 0.7166  12 Ag 2.91-2.95
Ag: 0.5000 0.0000 0.4803  12 Ag 2.91-2.94
Ag: 0.0000 0.5000 0.7562  12 Ag 2.91-2.95
Ag: 0.5000 0.0000 0.7958  12 Ag 2.91-2.97
Ag: 0.0000 0.5000 0.5984  12 Ag 2.91-2.94
Ag: 0.0000 0.5000 0.2834  12 Ag 2.91-2.95
Ag: 0.0000 0.5000 0.4410  12 Ag 2.91-2.94
Zn: 0.5000 0.0000 0.8718  4 Ag 2.81, 4 Zn 2.91
Ag: 0.0000 0.5000 0.2042  12 Ag 2.91-2.97
Ag: 0.5000 0.0000 0.4016  12 Ag 2.91-2.94
Ag: 0.5000 0.0000 0.1641  4 Zn 2.81, 8 Ag 2.91-2.97
Ag: 0.5000 0.0000 0.2438  12 Ag 2.91-2.95
Ag: 0.0000 0.5000 0.3622  12 Ag 2.91-2.94
Ag: 0.0000 0.5000 0.8359  4 Zn 2.81, 8 Ag 2.91-2.97
Ag: 0.5000 0.0000 0.5590  12 Ag 2.91-2.94
Ag: 0.5000 0.0000 0.6378  12 Ag 2.91-2.94


HoTmSbBr2 after structural relaxation. Source: OQMD via LeMat-Bulk, functional PBE.

Summary:
- total DFT energy (no corrections) (eV/atom) = -4.72
- M_tot (μB per formula unit) = 0.00
- space group = P3m1 (156)

a = 4.1846 Å, b = 4.1846 Å, c = 10.7120 Å
α = 90.00°, β = 90.00°, γ = 120.00°
Last column: nearest neighbours and their distance in Å.
Fractional coordinates of all 5 atoms:
Sb: 0.3333 0.6667 0.9980  3 Tm 2.95, 3 Ho 2.97
Ho: 0.0000 0.0000 0.1599  3 Br 2.96, 3 Sb 2.97
Br: 0.6667 0.3333 0.3194  3 Ho 2.96
Br: 0.0000 0.0000 0.6826  3 Tm 2.95
Tm: 0.6667 0.3333 0.8401  3 Br 2.95, 3 Sb 2.95